# Pm3Pr2Sm4

An optimized crystal structure of Pm3Pr2Sm4 (PBE, the Alexandria database).

Summary:
* Fermi-level density of states: 16.60 states/eV/f.u.
* M_tot: 0.00 μB/f.u.
* distance to the lowest polymorph of the same formula: 0 meV/atom
* formation energy: 59 meV/atom

Cell lengths 3.6579, 3.6579, 27.2052 Å; angles 90.00, 90.00, 120.00 degrees
Last column: nearest neighbours and their distance in Å.
Fractional coordinates of all 9 atoms:
Pm 0.0000 0.0000 0.0000  6 Pr 3.61-3.74, 6 Pm 3.66
Pm 0.0000 0.0000 0.3406  6 Sm 3.55-3.69, 6 Pm 3.66
Pm 0.6667 0.3333 0.6680  6 Sm 3.64-3.65, 6 Pm 3.66
Pr 0.6667 0.3333 0.1075  1 Sm 3.48, 3 Pm 3.61, 6 Pr 3.66
Pr 0.6667 0.3333 0.8863  3 Sm 3.65, 6 Pr 3.66, 3 Pm 3.74
Sm 0.0000 0.0000 0.5585  9 Sm 3.59-3.66, 3 Pm 3.65
Sm 0.0000 0.0000 0.7768  3 Pm 3.64, 3 Pr 3.65, 6 Sm 3.66
Sm 0.6667 0.3333 0.2356  1 Pr 3.48, 3 Pm 3.55, 6 Sm 3.66
Sm 0.6667 0.3333 0.4519  9 Sm 3.59-3.66, 3 Pm 3.69

# Ho3TmRh2

An optimized crystal structure of Ho3TmRh2 (PBE, the Alexandria database).

Summary:
* Fermi-level density of states: 3.79 states/eV/f.u.
* M_tot: 0.00 μB/f.u.
* distance to the lowest polymorph of the same formula: 23 meV/atom
* formation energy: -575 meV/atom

Cell lengths 7.9668, 7.9668, 4.6777 Å; angles 107.07, 107.07, 30.70 degrees
Last column: nearest neighbours and their distance in Å.
Fractional coordinates of all 6 atoms:
Ho 0.0000 0.0000 0.0000  4 Rh 3.00-3.01, 4 Tm 3.15
Ho 0.3147 0.3147 0.8151  1 Rh 2.71
Ho 0.6853 0.6853 0.1849  1 Rh 2.71
Tm 0.5000 0.5000 0.5000  4 Rh 2.83, 4 Ho 3.15
Rh 0.1294 0.1294 0.6306  3 Ho 2.71-3.01, 2 Tm 2.83
Rh 0.8706 0.8706 0.3694  3 Ho 2.71-3.01, 2 Tm 2.83

# NdSm2Mg

An optimized crystal structure of NdSm2Mg (PBE, the Alexandria database).

Summary:
* Fermi-level density of states: 5.27 states/eV/f.u.
* M_tot: 0.00 μB/f.u.
* distance to the lowest polymorph of the same formula: 78 meV/atom
* formation energy: 42 meV/atom

Cell lengths 11.6902, 11.6902, 11.6902 Å; angles 17.67, 17.67, 17.67 degrees
Last column: nearest neighbours and their distance in Å.
Fractional coordinates of all 4 atoms:
Nd 0.0000 0.0000 0.0000  6 Nd 3.59, 6 Sm 3.61-3.64
Sm 0.4201 0.4201 0.4201  3 Mg 3.46, 6 Sm 3.59, 3 Nd 3.64
Sm 0.5810 0.5810 0.5810  3 Mg 3.47, 6 Sm 3.59, 3 Nd 3.61
Mg 0.1672 0.1672 0.1672  6 Sm 3.46-3.47, 6 Mg 3.59

# K10Na2Au3

An optimized crystal structure of K10Na2Au3 (PBE, the Alexandria database).

Summary:
* Fermi-level density of states: 9.05 states/eV/f.u.
* M_tot: 0.00 μB/f.u.
* formation energy: -107 meV/atom

Cell lengths 15.8708, 15.8708, 12.7499 Å; angles 111.92, 111.92, 32.44 degrees
Last column: nearest neighbours and their distance in Å.
Fractional coordinates of all 30 atoms:
K 0.0000 0.5000 0.5000  2 Au 3.29
K 0.0114 0.0114 0.6650  3 Au 3.29-3.59
K 0.0977 0.5988 0.0480  1 Au 3.31
K 0.1290 0.1290 0.2294  2 Au 3.29-3.38
K 0.1675 0.6080 0.4500  2 Au 3.23-3.26
K 0.2365 0.2365 0.7871  1 Au 3.31
K 0.2433 0.7567 0.0000  2 Au 3.30
K 0.3920 0.8325 0.5500  2 Au 3.23-3.26
K 0.4012 0.9023 0.9520  1 Au 3.31
K 0.4811 0.4811 0.2565  2 Au 3.27
K 0.5000 0.0000 0.5000  2 Au 3.29
K 0.5189 0.5189 0.7435  2 Au 3.27
K 0.5988 0.0977 0.0480  1 Au 3.31
K 0.6080 0.1675 0.4500  2 Au 3.23-3.26
K 0.7567 0.2433 0.0000  2 Au 3.30
K 0.7635 0.7635 0.2129  1 Au 3.31
K 0.8325 0.3920 0.5500  2 Au 3.23-3.26
K 0.8710 0.8710 0.7706  2 Au 3.29-3.38
K 0.9023 0.4012 0.9520  1 Au 3.31
K 0.9886 0.9886 0.3350  3 Au 3.29-3.59
Na 0.2649 0.2649 0.2012  11 K 4.28-4.58
Na 0.3756 0.3756 0.7679  12 K 4.34-4.64
Na 0.6244 0.6244 0.2321  12 K 4.34-4.64
Na 0.7351 0.7351 0.7988  11 K 4.28-4.58
Au 0.0696 0.0696 0.9433  6 K 3.29-3.38
Au 0.1718 0.1718 0.5095  6 K 3.23-3.31
Au 0.3359 0.6641 0.5000  1 Au 2.91
Au 0.6641 0.3359 0.5000  1 Au 2.91
Au 0.8282 0.8282 0.4905  6 K 3.23-3.31
Au 0.9304 0.9304 0.0567  6 K 3.29-3.38

# Tb3Sm2TmBi6

An optimized crystal structure of Tb3Sm2TmBi6 (PBE, the Alexandria database).

Summary:
* Fermi-level density of states: 2.01 states/eV/f.u.
* M_tot: 0.00 μB/f.u.
* formation energy: -877 meV/atom

Cell lengths 10.0704, 10.0704, 9.0099 Å; angles 102.89, 102.89, 25.85 degrees
Last column: nearest neighbours and their distance in Å.
Fractional coordinates of all 12 atoms:
Tb 0.0000 0.0000 0.0000  6 Bi 3.17-3.21
Tb 0.3320 0.3320 0.6664  6 Bi 3.17-3.19
Tb 0.6680 0.6680 0.3336  6 Bi 3.17-3.19
Sm 0.3341 0.3341 0.1674  6 Bi 3.21
Sm 0.6659 0.6659 0.8326  6 Bi 3.21
Tm 0.0000 0.0000 0.5000  6 Bi 3.15-3.17
Bi 0.1651 0.1651 0.5791  1 Tm 3.15, 3 Tb 3.17-3.19, 2 Sm 3.21
Bi 0.1658 0.1658 0.0856  3 Tb 3.17, 3 Sm 3.21
Bi 0.4982 0.4982 0.7460  2 Tm 3.17, 3 Tb 3.18-3.21, 1 Sm 3.21
Bi 0.5018 0.5018 0.2540  2 Tm 3.17, 3 Tb 3.18-3.21, 1 Sm 3.21
Bi 0.8342 0.8342 0.9144  3 Tb 3.17, 3 Sm 3.21
Bi 0.8349 0.8349 0.4209  1 Tm 3.15, 3 Tb 3.17-3.19, 2 Sm 3.21

# Tm5Te2Pd

An optimized crystal structure of Tm5Te2Pd (PBE, the Alexandria database).

Summary:
* Fermi-level density of states: 6.81 states/eV/f.u.
* formation energy (no corrections): -4.89 eV per formula unit
* M_tot: 0.00 μB/f.u.
* distance to the lowest polymorph of the same formula: 177 meV/atom

Cell lengths 6.7949, 6.7949, 12.9702 Å; angles 90.00, 90.00, 129.55 degrees
Last column: nearest neighbours and their distance in Å.
Fractional coordinates of all 16 atoms:
Tm 0.0586 0.9414 0.6134  1 Pd 2.71
Tm 0.0586 0.9414 0.8866  1 Pd 2.71
Tm 0.3659 0.6341 0.2500  2 Te 3.01, 2 Pd 3.11
Tm 0.3899 0.6101 0.5849  1 Pd 2.95, 3 Te 3.08-3.25
Tm 0.3899 0.6101 0.9151  1 Pd 2.95, 3 Te 3.08-3.25
Tm 0.6101 0.3899 0.0849  1 Pd 2.95, 3 Te 3.08-3.25
Tm 0.6101 0.3899 0.4151  1 Pd 2.95, 3 Te 3.08-3.25
Tm 0.6341 0.3659 0.7500  2 Te 3.01, 2 Pd 3.11
Tm 0.9414 0.0586 0.1134  1 Pd 2.71
Tm 0.9414 0.0586 0.3866  1 Pd 2.71
Te 0.1947 0.8053 0.0844  6 Tm 3.01-3.25
Te 0.1947 0.8053 0.4156  6 Tm 3.01-3.25
Te 0.8053 0.1947 0.5844  6 Tm 3.01-3.25
Te 0.8053 0.1947 0.9156  6 Tm 3.01-3.25
Pd 0.2254 0.7746 0.7500  4 Tm 2.71-2.95
Pd 0.7746 0.2254 0.2500  4 Tm 2.71-2.95